1.
VASP calculation (PBE with a Hubbard U) on CaTbEuVO6 after structural relaxation.

a b c (Å): 5.7840 5.7840 5.7840
angles (deg): 60.00 60.00 60.00
Closest atoms and distances in Å follow each position.
Element x y z (fractional)
Ca1 0.0000 0.0000 0.0000  12 O 2.90
Tb1 0.2500 0.2500 0.2500  6 O 2.20
Eu1 0.5000 0.5000 0.5000  12 O 2.90
V1 0.7500 0.7500 0.7500  6 O 1.89
O1 0.5185 0.5185 0.9815  1 V 1.89
O2 0.5185 0.9815 0.5185  1 V 1.89
O3 0.5185 0.9815 0.9815  1 V 1.89
O4 0.9815 0.5185 0.5185  1 V 1.89
O5 0.9815 0.5185 0.9815  1 V 1.89
O6 0.9815 0.9815 0.5185  1 V 1.89

## Properties
**Total energy**: -80.670 eV for the cell shown
**Crystal system**: cubic


2.
VASP calculation (PBE with a Hubbard U) on CaEuV4O12 after structural relaxation.

a b c (Å): 5.3285 5.3285 7.5395
angles (deg): 90.00 90.00 90.00
Closest atoms and distances in Å follow each position.
Element x y z (fractional)
Ca1 0.0000 0.0000 0.0000  12 O 2.66-2.67
Eu1 0.5000 0.5000 0.5000  12 O 2.66
V1 0.0000 0.5000 0.2483  6 O 1.87-1.90
V2 0.0000 0.5000 0.7517  6 O 1.87-1.90
V3 0.5000 0.0000 0.2483  6 O 1.87-1.90
V4 0.5000 0.0000 0.7517  6 O 1.87-1.90
O1 0.0000 0.5000 0.0000  2 V 1.87
O2 0.0000 0.5000 0.5000  2 V 1.90
O3 0.2504 0.2504 0.2502  2 V 1.88
O4 0.2504 0.2504 0.7498  2 V 1.88
O5 0.2504 0.7496 0.2502  2 V 1.88
O6 0.2504 0.7496 0.7498  2 V 1.88
O7 0.5000 0.0000 0.0000  2 V 1.87
O8 0.5000 0.0000 0.5000  2 V 1.90
O9 0.7496 0.2504 0.2502  2 V 1.88
O10 0.7496 0.2504 0.7498  2 V 1.88
O11 0.7496 0.7496 0.2502  2 V 1.88
O12 0.7496 0.7496 0.7498  2 V 1.88

## Properties
**Total energy**: -139.150 eV for the cell shown
**Crystal system**: tetragonal


3.
VASP calculation (PBE with a Hubbard U) on CaEuVWO6 after structural relaxation.

a b c (Å): 5.6674 5.6674 5.6674
angles (deg): 60.00 60.00 60.00
Closest atoms and distances in Å follow each position.
Element x y z (fractional)
Ca1 0.0000 0.0000 0.0000  12 O 2.83
Eu1 0.5000 0.5000 0.5000  12 O 2.83
V1 0.2500 0.2500 0.2500  6 O 2.06
W1 0.7500 0.7500 0.7500  6 O 1.95
O1 0.5066 0.5066 0.9934  1 W 1.95, 1 V 2.06
O2 0.5066 0.9934 0.5066  1 W 1.95, 1 V 2.06
O3 0.5066 0.9934 0.9934  1 W 1.95, 1 V 2.06
O4 0.9934 0.5066 0.5066  1 W 1.95, 1 V 2.06
O5 0.9934 0.5066 0.9934  1 W 1.95, 1 V 2.06
O6 0.9934 0.9934 0.5066  1 W 1.95, 1 V 2.06

## Properties
**Total energy**: -80.841 eV for the cell shown
**Crystal system**: cubic


4.
VASP calculation (PBE with a Hubbard U) on CaEuZrVO6 after structural relaxation.

a b c (Å): 5.6848 5.6848 5.6848
angles (deg): 60.00 60.00 60.00
Closest atoms and distances in Å follow each position.
Element x y z (fractional)
Ca1 0.0000 0.0000 0.0000  12 O 2.84
Eu1 0.5000 0.5000 0.5000  12 O 2.84
Zr1 0.2500 0.2500 0.2500  6 O 2.08
V1 0.7500 0.7500 0.7500  6 O 1.94
O1 0.5085 0.5085 0.9915  1 V 1.94, 1 Zr 2.08
O2 0.5085 0.9915 0.5085  1 V 1.94, 1 Zr 2.08
O3 0.5085 0.9915 0.9915  1 V 1.94, 1 Zr 2.08
O4 0.9915 0.5085 0.5085  1 V 1.94, 1 Zr 2.08
O5 0.9915 0.5085 0.9915  1 V 1.94, 1 Zr 2.08
O6 0.9915 0.9915 0.5085  1 V 1.94, 1 Zr 2.08

## Properties
**Total energy**: -85.538 eV for the cell shown
**Crystal system**: cubic